[1]
The following is a PBE calculation of a geometry-optimized Be2PCl structure, from Alexandria via LeMat-Bulk.

Cell lengths 3.6138, 3.6117, 4.9454 Å; angles 90.00, 90.43, 90.00 degrees
Space group Pm (No. 6)
Inequivalent atoms, fractional coordinates:
Be  0.0000  0.0000  0.0000 [1 per cell]
Be  0.4862  0.5000  0.5760 [1 per cell]
P  0.9882  0.5000  0.7880 [1 per cell]
Cl  0.4866  0.0000  0.2883 [1 per cell]

Values from the calculation:
- Formation energy (no corrections): -199.0 kJ/mol of formula units

[2]
The following is a PBE calculation of a geometry-optimized TiMoN2 structure, from Alexandria via LeMat-Bulk.

Cell lengths 5.3141, 5.3141, 5.3141 Å; angles 90.00, 90.00, 90.00 degrees
Space group Fm-3m (No. 225)
Inequivalent atoms, fractional coordinates:
Ti  0.0000  0.0000  0.0000 [4 per cell]
Mo  0.0000  0.0000  0.5000 [4 per cell]
N  0.2500  0.2500  0.2500 [8 per cell]

Values from the calculation:
- Formation energy (no corrections): -186.0 kJ/mol of formula units

[3]
The following is a PBE calculation of a geometry-optimized TcMo2Ru structure, from Alexandria via LeMat-Bulk.

Cell lengths 3.1488, 3.1488, 6.1991 Å; angles 90.00, 90.00, 90.00 degrees
Space group P4mm (No. 99)
Inequivalent atoms, fractional coordinates:
Tc  0.0000  0.0000  0.0000 [1 per cell]
Mo  0.0000  0.0000  0.4867 [1 per cell]
Mo  0.5000  0.5000  0.2172 [1 per cell]
Ru  0.5000  0.5000  0.7052 [1 per cell]

Values from the calculation:
- Energy of formation: 0.17 eV per atom

[4]
The following is a PBE calculation of a geometry-optimized Y2Zn3Ge structure, from Alexandria via LeMat-Bulk.

Cell lengths 3.6774, 4.3812, 7.5710 Å; angles 90.00, 90.00, 90.00 degrees
Space group Pmm2 (No. 25)
Inequivalent atoms, fractional coordinates:
Y  0.0000  0.0000  0.0000 [1 per cell]
Y  0.0000  0.5000  0.4864 [1 per cell]
Zn  0.5000  0.0000  0.6679 [1 per cell]
Zn  0.5000  0.5000  0.1517 [1 per cell]
Zn  0.5000  0.5000  0.8217 [1 per cell]
Ge  0.5000  0.0000  0.3314 [1 per cell]

Values from the calculation:
- Energy of formation: -0.52 eV per atom

| no. | VASP energy (eV per atom) | calculated density (Mg/m³) | magnetic moment (μB/f.u.) |
| --- | --- | --- | --- |
| 1 | -4.19 | 2.2 | 0.00 |
| 2 | -9.33 | 7.6 | 0.00 |
| 3 | -10.15 | 10.6 | 0.00 |
| 4 | -4.08 | 6.1 | 0.00 |